No. 1
Below is a geometry-optimized ScZn structure, with properties calculated at the PBE level.

Structure (POSCAR):
```
ScZn
1.0
-0.745 -3.093 -0.773
2.487 1.509 -1.502
5.559 -2.910 6.284
Sc Zn
2 2
Direct
0.000 0.000 0.979
0.333 0.667 0.271
0.000 0.000 0.517
0.333 0.667 0.733
```

**Energy**: -7.7 eV per formula unit
**SG**: P-3m1, No. 164



No. 2
Below is a geometry-optimized ReSiIr2 structure, with properties calculated at the PBE level.

Structure (POSCAR):
```
ReSiIr2
1.0
-5.907 5.519 -2.768
-7.261 3.123 -3.246
-7.351 4.297 -0.712
Ir Re Si
2 1 1
Direct
0.007 0.007 0.007
0.248 0.248 0.248
0.496 0.496 0.496
0.748 0.748 0.748
```

**Energy**: -36.3 eV per formula unit
**SG**: R3m, No. 160



No. 3
Below is a geometry-optimized ZrP2Se structure, with properties calculated at the PBE level.

Structure (POSCAR):
```
ZrP2Se
1.0
-1.951 -3.303 -2.636
2.041 -4.164 -0.403
-1.924 -3.738 1.998
P Se Zr
2 1 1
Direct
0.000 0.000 0.000
0.250 0.250 0.250
0.500 0.500 0.500
0.750 0.750 0.750
```

**Energy**: -22.9 eV per formula unit
**SG**: F-43m, No. 216



No. 4
Below is a geometry-optimized Ti2N structure, with properties calculated at the PBE level.

Structure (POSCAR):
```
Ti2N
1.0
-0.725 0.521 4.873
0.095 -4.924 0.540
3.007 0.106 0.436
Ti N
4 2
Direct
0.203 0.797 0.500
0.703 0.703 0.000
0.797 0.203 0.500
0.297 0.297 0.000
0.500 0.500 0.500
0.000 0.000 0.000
```

**Energy**: -28.1 eV per formula unit
**SG**: P4_2/mnm, No. 136



No. 5
Below is a geometry-optimized Fe2CoSb structure, with properties calculated at the PBE level.

Structure (POSCAR):
```
Fe2CoSb
1.0
-0.128 2.188 4.237
2.720 -2.052 3.338
0.702 1.425 -4.498
Co Fe Sb
1 2 1
Direct
0.750 0.250 0.500
0.000 0.000 0.000
0.500 0.500 0.000
0.250 0.750 0.500
```

**Energy**: -27.8 eV per formula unit
**SG**: I4/mmm, No. 139



No. 6
Below is a geometry-optimized In3Sn12Au5 structure, with properties calculated at the PBE level.

Structure (POSCAR):
```
In3Sn12Au5
1.0
-11.399 2.321 -8.690
5.887 -12.911 -3.083
-4.361 0.148 13.849
Au Sn In
20 48 12
Direct
0.125 0.375 0.250
0.000 0.500 0.000
0.000 0.000 0.000
0.375 0.250 0.125
0.500 0.000 0.500
0.500 0.500 0.000
0.125 0.750 0.375
0.750 0.125 0.875
0.750 0.625 0.375
0.375 0.125 0.750
0.625 0.875 0.250
0.500 0.500 0.500
0.500 0.000 0.000
0.000 0.000 0.500
0.250 0.375 0.625
0.250 0.875 0.125
0.000 0.500 0.500
0.875 0.250 0.625
0.625 0.750 0.875
0.875 0.625 0.750
0.722 0.121 0.048
0.327 0.548 0.427
0.952 0.379 0.278
0.548 0.222 0.121
0.601 0.722 0.673
0.952 0.573 0.173
0.327 0.778 0.399
0.073 0.899 0.121
0.573 0.952 0.673
0.722 0.601 0.173
0.778 0.452 0.379
0.827 0.927 0.048
0.121 0.722 0.548
0.379 0.427 0.101
0.101 0.927 0.379
0.399 0.121 0.573
0.101 0.173 0.222
0.452 0.673 0.073
0.827 0.899 0.278
0.121 0.399 0.073
0.379 0.952 0.778
0.573 0.621 0.399
0.927 0.827 0.548
0.778 0.327 0.899
0.427 0.379 0.601
0.073 0.173 0.452
0.222 0.673 0.101
0.173 0.101 0.722
0.621 0.048 0.222
0.879 0.601 0.927
0.548 0.327 0.927
0.601 0.879 0.427
0.899 0.827 0.778
0.899 0.073 0.621
0.879 0.278 0.452
0.173 0.073 0.952
0.621 0.573 0.899
0.427 0.048 0.327
0.278 0.399 0.827
0.222 0.548 0.621
0.927 0.101 0.879
0.673 0.222 0.601
0.452 0.778 0.879
0.048 0.427 0.827
0.399 0.278 0.327
0.048 0.621 0.722
0.673 0.452 0.573
0.278 0.879 0.952
0.750 0.375 0.125
0.875 0.750 0.125
0.375 0.750 0.625
0.250 0.125 0.375
0.875 0.125 0.250
0.375 0.625 0.250
0.625 0.375 0.750
0.125 0.875 0.750
0.750 0.875 0.625
0.625 0.250 0.375
0.125 0.250 0.875
0.250 0.625 0.875
```

**Energy**: -72.0 eV per formula unit
**SG**: Ia-3d, No. 230



No. 7
Below is a geometry-optimized RbNa2GaB structure, with properties calculated at the PBE level.

Structure (POSCAR):
```
RbNa2GaB
1.0
-0.426 -4.135 -3.926
-1.435 -2.510 2.799
-5.324 1.696 -1.209
Na B Ga Rb
2 1 1 1
Direct
0.000 0.000 0.500
0.500 0.000 0.000
0.000 0.000 0.000
0.000 0.500 0.000
0.500 0.500 0.500
```

**Energy**: -11.5 eV per formula unit
**SG**: P4/mmm, No. 123



No. 8
Below is a geometry-optimized TbThTeSe2 structure, with properties calculated at the PBE level.

Structure (POSCAR):
```
TbThTeSe2
1.0
4.698 0.000 0.000
0.000 4.698 0.000
-2.349 -2.349 6.923
Tb Th Te Se
1 1 1 2
Direct
0.862 0.862 0.725
0.127 0.127 0.255
0.509 0.509 0.018
0.751 0.251 0.502
0.251 0.751 0.502
```

**Energy**: -28.7 eV per formula unit
**SG**: I4mm, No. 107



No. 9
Below is a geometry-optimized Zr2TiHRh structure, with properties calculated at the PBE level.

Structure (POSCAR):
```
Zr2TiHRh
1.0
4.608 0.000 0.000
0.000 4.608 0.000
0.000 0.000 3.623
H Rh Zr Ti
1 1 2 1
Direct
0.000 0.000 0.000
0.500 0.500 0.500
0.000 0.500 0.000
0.500 0.000 0.000
0.000 0.000 0.500
```

**Offset from the most stable computed form**: 0.0 meV per atom
**SG**: P4/mmm, No. 123



No. 10
Below is a geometry-optimized Ho8CdTc2 structure, with properties calculated at the PBE level.

Structure (POSCAR):
```
Ho8CdTc2
1.0
5.499 -0.060 -0.090
-0.992 7.765 -0.054
-0.992 -3.041 7.145
Ho Cd Tc
8 1 2
Direct
0.921 0.937 0.670
0.921 0.670 0.937
0.301 0.615 0.615
0.500 0.754 0.246
0.500 0.246 0.754
0.699 0.385 0.385
0.079 0.330 0.063
0.079 0.063 0.330
0.500 0.000 0.000
0.000 0.316 0.684
0.000 0.684 0.316
```

**Offset from the most stable computed form**: 14.9 meV per atom
**SG**: C2/m, No. 12



No. 11
Below is a geometry-optimized MgAl2AuS structure, with properties calculated at the PBE level.

Structure (POSCAR):
```
MgAl2AuS
1.0
4.711 0.000 0.000
0.000 4.589 0.000
0.000 0.000 4.711
Mg S Au Al
1 1 1 2
Direct
0.000 0.500 0.000
0.000 0.000 0.000
0.500 0.500 0.500
0.000 0.000 0.500
0.500 0.000 0.000
```

**Energy**: -15.7 eV per formula unit
**SG**: P4/mmm, No. 123



No. 12
Below is a geometry-optimized Hf5N4 structure, with properties calculated at the PBE level.

Structure (POSCAR):
```
Hf5N4
1.0
-4.010 0.840 -2.037
-4.437 -1.300 3.059
-2.022 5.077 0.934
Hf N
5 4
Direct
0.500 0.000 0.000
0.105 0.589 0.201
0.306 0.799 0.589
0.694 0.201 0.411
0.895 0.411 0.799
0.197 0.203 0.402
0.600 0.598 0.203
0.400 0.402 0.797
0.803 0.797 0.598
```

**Offset from the most stable computed form**: 0.0 meV per atom
**SG**: I4/m, No. 87



No. 13
Below is a geometry-optimized NbPt2C2 structure, with properties calculated at the PBE level.

Structure (POSCAR):
```
NbPt2C2
1.0
3.882 0.000 0.000
0.000 3.882 0.000
1.941 1.941 4.262
Nb C Pt
1 2 2
Direct
0.000 0.000 0.000
0.750 0.250 0.500
0.250 0.750 0.500
0.343 0.343 0.315
0.657 0.657 0.685
```

**Offset from the most stable computed form**: 0.0 meV per atom
**SG**: I4/mmm, No. 139



No. 14
Below is a geometry-optimized Pm2Mg2Cd structure, with properties calculated at the PBE level.

Structure (POSCAR):
```
Pm2Mg2Cd
1.0
5.322 0.000 0.000
0.000 6.836 -0.170
-2.661 -2.034 7.545
Pm Mg Cd
4 4 2
Direct
0.609 0.154 0.217
0.609 0.654 0.217
0.391 0.846 0.783
0.391 0.346 0.783
0.804 0.533 0.608
0.196 0.967 0.392
0.196 0.467 0.392
0.804 0.033 0.608
0.000 0.750 0.000
0.000 0.250 0.000
```

**Offset from the most stable computed form**: 5.3 meV per atom
**SG**: C2/m, No. 12



No. 15
Below is a geometry-optimized Tb2DyEr6Tm structure, with properties calculated at the PBE level.

Structure (POSCAR):
```
Tb2DyEr6Tm
1.0
-5.052 6.981 -3.926
4.629 -1.526 -7.167
-6.917 -4.995 1.522
Tb Dy Er Tm
4 2 12 2
Direct
0.456 0.803 0.698
0.044 0.302 0.197
0.544 0.197 0.302
0.956 0.698 0.803
0.250 0.978 0.022
0.750 0.022 0.978
0.057 0.126 0.749
0.443 0.251 0.874
0.943 0.874 0.251
0.557 0.749 0.126
0.314 0.981 0.428
0.186 0.572 0.019
0.686 0.019 0.572
0.814 0.428 0.981
0.119 0.710 0.496
0.381 0.504 0.290
0.881 0.290 0.504
0.619 0.496 0.710
0.250 0.409 0.591
0.750 0.591 0.409
```

**Energy**: -44.5 eV per formula unit
**SG**: C2/c, No. 15



No. 16
Below is a geometry-optimized AsIr3Pd structure, with properties calculated at the PBE level.

Structure (POSCAR):
```
AsIr3Pd
1.0
-2.953 -3.360 -0.802
2.837 -2.961 1.960
-1.972 0.773 4.021
As Ir Pd
1 3 1
Direct
0.000 0.000 0.000
0.000 0.500 0.000
0.000 0.000 0.500
0.500 0.000 0.000
0.500 0.500 0.500
```

**Offset from the most stable computed form**: 0.0 meV per atom
**SG**: Pm-3m, No. 221



No. 17
Below is a geometry-optimized PaAsF structure, with properties calculated at the PBE level.

Structure (POSCAR):
```
PaAsF
1.0
3.482 0.000 0.000
0.000 3.482 0.000
-1.741 -1.741 4.651
As Pa F
1 1 1
Direct
0.013 0.013 0.026
0.685 0.685 0.369
0.302 0.302 0.605
```

**Offset from the most stable computed form**: 492.9 meV per atom
**SG**: I4mm, No. 107



No. 18
Below is a geometry-optimized SrCaY2Pd structure, with properties calculated at the PBE level.

Structure (POSCAR):
```
SrCaY2Pd
1.0
-1.648 -5.067 -1.531
4.887 -0.840 -2.479
2.136 -2.191 4.952
Y Sr Ca Pd
2 1 1 1
Direct
0.000 0.500 0.000
0.500 0.000 0.000
0.500 0.500 0.500
0.000 0.000 0.500
0.000 0.000 0.000
```

**Offset from the most stable computed form**: 0.0 meV per atom
**SG**: P4/mmm, No. 123



No. 19
Below is a geometry-optimized CoMoPt2 structure, with properties calculated at the PBE level.

Structure (POSCAR):
```
CoMoPt2
1.0
-5.899 -2.275 2.734
-0.572 -4.618 -5.079
-1.878 -5.217 0.284
Mo Co Pt
2 2 4
Direct
0.000 0.000 0.000
0.750 0.250 0.500
0.500 0.500 0.000
0.250 0.750 0.500
0.612 0.125 0.250
0.138 0.625 0.250
0.375 0.388 0.750
0.875 0.862 0.750
```

**Offset from the most stable computed form**: 584.0 meV per atom
**SG**: I-42d, No. 122



No. 20
Below is a geometry-optimized PuCd2Sn2 structure, with properties calculated at the PBE level.

Structure (POSCAR):
```
PuCd2Sn2
1.0
-0.652 -0.827 -4.369
3.723 -2.489 -0.084
-6.230 -9.492 5.036
Pu Cd Sn
2 4 4
Direct
0.351 0.250 0.702
0.649 0.750 0.298
0.046 0.750 0.092
0.457 0.750 0.914
0.954 0.250 0.908
0.543 0.250 0.086
0.750 0.250 0.499
0.250 0.750 0.501
0.864 0.750 0.728
0.136 0.250 0.272
```

**Energy**: -25.2 eV per formula unit
**SG**: Cmcm, No. 63



No. 21
Below is a geometry-optimized Ho9Sc4Al11 structure, with properties calculated at the PBE level.

Structure (POSCAR):
```
Ho9Sc4Al11
1.0
3.267 0.000 0.000
0.000 12.424 -3.955
0.000 1.246 12.979
Ho Sc Al
9 4 11
Direct
0.500 0.631 0.145
0.500 0.369 0.855
0.500 0.145 0.631
0.500 0.855 0.369
0.500 0.789 0.958
0.500 0.211 0.042
0.500 0.958 0.789
0.500 0.042 0.211
0.500 0.500 0.500
0.500 0.567 0.743
0.500 0.433 0.257
0.500 0.743 0.567
0.500 0.257 0.433
0.000 0.573 0.935
0.000 0.427 0.065
0.000 0.935 0.573
0.000 0.065 0.427
0.000 0.633 0.367
0.000 0.367 0.633
0.000 0.839 0.161
0.000 0.161 0.839
0.000 0.000 0.000
0.000 0.753 0.753
0.000 0.247 0.247
```

**Energy**: -115.6 eV per formula unit
**SG**: Cmmm, No. 65